First-principles (PBE) data for crystalline TcSbSCl2 at its relaxed geometry, as listed in Alexandria.

Computed properties:
The formation energy from raw total energies is 0.190 eV/atom. Its magnetization is 0.86 μB/cell. The polymorph energy (0 for the lowest one) comes out at 0.0 kJ per mole of atoms.

Lattice parameters (Å, degrees): 4.865 4.865 4.577 90.00 90.00 90.00
Sites, in units of the cell vectors:
Sb1 0.500 0.500 0.500
S1 0.000 0.000 0.500
Tc1 0.000 0.000 0.000
Cl1 0.000 0.500 0.000
Cl2 0.500 0.000 0.000